Record 1
Compound: Pm2PrDyAs4
Source: Alexandria
Functional: PBE-GGA
Structure: relaxed

```
Pm2PrDyAs4
1.0
7.320 0.000 0.000
0.000 4.231 0.000
-2.439 0.000 6.902
Pm Pr Dy As
2 1 1 4
Cartesian
0.000 0.000 0.000
-1.220 2.115 3.451
2.440 0.000 3.451
3.660 2.115 0.000
1.231 2.115 1.689
0.011 0.000 5.219
4.869 0.000 1.683
3.650 2.115 5.212
```

Output
Its formation energy is -1.515 eV/atom. Its density of states at the Fermi level is 0.68 states/eV/f.u. Its crystal system is monoclinic.

---

Record 2
Compound: Pm3Pr2DyAs6
Source: Alexandria
Functional: PBE-GGA
Structure: relaxed

```
Pm3Pr2DyAs6
1.0
9.245 -2.123 0.000
9.245 2.123 0.000
-1.950 0.000 8.258
Pm Pr Dy As
3 2 1 6
Cartesian
0.000 0.000 0.000
4.857 0.000 5.500
11.684 0.000 2.758
5.855 0.000 1.389
10.686 0.000 6.869
-0.975 0.000 4.129
1.913 0.000 4.782
2.899 0.000 0.706
7.767 0.000 6.145
8.773 0.000 2.113
13.642 0.000 7.551
14.627 0.000 3.476
```

Output
Its formation energy is -1.513 eV/atom. Its density of states at the Fermi level is 1.73 states/eV/f.u. Its crystal system is monoclinic.

---

Record 3
Compound: Pm2Pr3DyAs6
Source: Alexandria
Functional: PBE-GGA
Structure: relaxed

```
Pm2Pr3DyAs6
1.0
9.269 -2.128 0.000
9.269 2.128 0.000
-1.951 0.000 8.279
Pm Pr Dy As
2 3 1 6
Cartesian
2.429 0.000 2.751
14.158 0.000 5.528
1.468 0.000 6.902
8.293 0.000 4.139
15.119 0.000 1.377
9.269 0.000 0.000
-0.463 0.000 2.008
5.344 0.000 3.470
4.446 0.000 7.581
12.141 0.000 0.698
11.243 0.000 4.809
17.050 0.000 6.271
```

Output
Its formation energy is -1.510 eV/atom. Its density of states at the Fermi level is 1.73 states/eV/f.u. Its crystal system is monoclinic.

---

Record 4
Compound: PmPrDy2As4
Source: Alexandria
Functional: PBE-GGA
Structure: relaxed

```
PmPrDy2As4
1.0
7.265 0.000 0.000
0.000 4.200 0.000
-2.424 0.000 6.854
Pm Pr Dy As
1 1 2 4
Cartesian
0.000 0.000 0.000
-1.212 2.100 3.427
2.420 0.000 3.427
3.632 2.100 0.000
1.271 2.100 1.721
0.058 0.000 5.176
4.782 0.000 1.678
3.570 2.100 5.133
```

Output
Its formation energy is -1.519 eV/atom. Its density of states at the Fermi level is 0.82 states/eV/f.u. Its crystal system is monoclinic.

---

Record 5
Compound: Pm2Dy3PuAs6
Source: Alexandria
Functional: PBE-GGA
Structure: relaxed

```
Pm2Dy3PuAs6
1.0
9.059 -2.083 0.000
9.059 2.083 0.000
-1.902 0.000 8.100
Pm Dy Pu As
2 3 1 6
Cartesian
2.385 0.000 2.708
13.830 0.000 5.392
1.452 0.000 6.749
8.108 0.000 4.050
14.764 0.000 1.350
9.059 0.000 0.000
-1.397 0.000 6.097
4.297 0.000 7.468
5.285 0.000 3.338
10.930 0.000 4.762
11.918 0.000 0.631
17.612 0.000 2.002
```

Output
Its formation energy is -1.436 eV/atom. Its density of states at the Fermi level is 14.97 states/eV/f.u. Its crystal system is monoclinic.

---

Record 6
Compound: PmDyAs2Rh5
Source: Alexandria
Functional: PBE-GGA
Structure: relaxed

```
PmDyAs2Rh5
1.0
4.263 0.000 0.000
0.000 4.263 0.000
0.000 0.000 8.829
Pm Dy As Rh
1 1 2 5
Cartesian
0.000 0.000 0.000
0.000 0.000 4.415
2.132 2.132 3.126
2.132 2.132 5.703
0.000 2.132 2.087
0.000 2.132 6.742
2.132 0.000 2.087
2.132 0.000 6.742
2.132 2.132 0.000
```

Output
Its formation energy is -0.754 eV/atom. Its density of states at the Fermi level is 4.13 states/eV/f.u. Its crystal system is tetragonal.